Record 1
A geometry-optimized FeGeAuS3 structure, computed with GGA-PBE.

```
FeGeAuS3
1.0
1.4632 6.6873 -2.2725
-3.7075 -4.7409 3.9754
5.9020 0.9738 6.6656
Au Ge S Fe
2 2 6 2
direct
0.8071 0.1929 0.7500 Au
0.1929 0.8071 0.2500 Au
0.1614 0.8386 0.7500 Ge
0.8386 0.1614 0.2500 Ge
0.8935 0.1065 0.9817 S
0.1065 0.8935 0.4817 S
0.8935 0.1065 0.5183 S
0.5395 0.4605 0.7500 S
0.4605 0.5395 0.2500 S
0.1065 0.8935 0.0183 S
0.5000 0.5000 0.0000 Fe
0.5000 0.5000 0.5000 Fe
```

Computed properties:
Space-group type: No. 63

***

Record 2
A geometry-optimized NbAlCuHg structure, computed with GGA-PBE.

```
NbAlCuHg
1.0
0.0000 3.2390 3.2390
3.2390 0.0000 3.2390
3.2390 3.2390 0.0000
Al Nb Hg Cu
1 1 1 1
direct
0.0000 0.0000 0.0000 Al
0.5000 0.5000 0.5000 Nb
0.2500 0.2500 0.2500 Hg
0.7500 0.7500 0.7500 Cu
```

Computed properties:
Space-group type: No. 216
Energy relative to the lowest polymorph listed for this composition (eV per atom): 0.032

***

Record 3
A geometry-optimized NaZrCuTe2S structure, computed with GGA-PBE.

```
NaZrCuTe2S
1.0
7.1044 -1.9333 0.0000
7.1044 1.9333 0.0000
-0.4235 0.0000 10.6062
S Zr Cu Te Na
2 2 2 4 2
direct
0.3836 0.3836 0.0544 S
0.6164 0.6164 0.9456 S
0.0000 0.0000 0.0000 Zr
0.0000 0.0000 0.5000 Zr
0.5312 0.5312 0.7565 Cu
0.4688 0.4688 0.2435 Cu
0.6444 0.6444 0.5731 Te
0.3556 0.3556 0.4269 Te
0.0928 0.0928 0.2540 Te
0.9072 0.9072 0.7460 Te
0.2266 0.2266 0.8087 Na
0.7734 0.7734 0.1913 Na
```

Computed properties:
Space-group type: No. 12
Energy relative to the lowest polymorph listed for this composition (eV per atom): 0.000

***

Record 4
A geometry-optimized LaNdGe4Pd2 structure, computed with GGA-PBE.

```
LaNdGe4Pd2
1.0
4.4387 0.0000 0.0000
0.0000 2.1882 8.7180
0.0000 -2.1882 8.7180
Ge Pd La Nd
4 2 1 1
direct
0.0000 0.7507 0.7507 Ge
0.5000 0.9646 0.9646 Ge
0.5000 0.2488 0.2488 Ge
0.0000 0.0361 0.0361 Ge
0.0000 0.1770 0.1770 Pd
0.5000 0.8228 0.8228 Pd
0.0000 0.3928 0.3928 La
0.5000 0.6073 0.6073 Nd
```

Computed properties:
Space-group type: No. 38

***

Record 5
A geometry-optimized HgH structure, computed with GGA-PBE.

```
HgH
1.0
-1.3147 1.5010 2.9129
0.3659 3.4738 0.5150
-2.8118 2.1237 -0.2236
H Hg
1 1
direct
0.0000 0.0000 0.0000 H
0.2500 0.2500 0.2500 Hg
```

Computed properties:
Space-group type: No. 216
Energy relative to the lowest polymorph listed for this composition (eV per atom): 0.150

***

Record 6
A geometry-optimized Co124As structure, computed with GGA-PBE.

```
Co124As
1.0
0.0000 8.7550 8.7550
8.7550 0.0000 8.7550
8.7550 8.7550 0.0000
Co As
124 1
direct
0.0000 0.7962 0.0000 Co
0.7996 0.7996 0.2004 Co
0.5999 0.4001 0.2000 Co
0.2038 0.0000 0.7962 Co
0.8000 0.6000 0.6000 Co
0.2000 0.8000 0.4001 Co
0.4001 0.2000 0.8000 Co
0.0000 0.0000 0.3991 Co
0.2004 0.7996 0.2004 Co
0.3999 0.6001 0.3999 Co
0.7998 0.7998 0.4007 Co
0.3991 0.0000 0.6009 Co
0.2004 0.7996 0.7996 Co
0.0000 0.2038 0.7962 Co
0.2001 0.2001 0.3998 Co
0.0000 0.0000 0.2038 Co
0.0000 0.0000 0.7962 Co
0.2000 0.4000 0.4000 Co
0.4000 0.2000 0.4000 Co
0.8000 0.4001 0.5999 Co
0.2001 0.2001 0.2001 Co
0.0000 0.2000 0.4000 Co
0.8000 0.0000 0.6000 Co
0.2002 0.0002 0.5993 Co
0.9998 0.7998 0.4007 Co
0.7998 0.4007 0.9998 Co
0.4000 0.4000 0.0000 Co
0.4001 0.5999 0.8000 Co
0.0002 0.2002 0.2002 Co
0.6000 0.8000 0.6000 Co
0.7998 0.9998 0.7998 Co
0.4007 0.9998 0.7998 Co
0.7999 0.6002 0.7999 Co
0.6000 0.0000 0.8000 Co
0.6000 0.8000 0.0000 Co
0.5993 0.2002 0.2002 Co
0.2000 0.5999 0.8000 Co
0.9998 0.7998 0.7998 Co
0.0000 0.4000 0.2000 Co
0.0002 0.2002 0.5993 Co
0.8000 0.4001 0.2000 Co
0.7962 0.2038 0.0000 Co
0.2038 0.0000 0.0000 Co
0.6000 0.6000 0.0000 Co
0.7998 0.7998 0.9998 Co
0.7962 0.0000 0.2038 Co
0.7962 0.0000 0.0000 Co
0.3999 0.3999 0.6001 Co
0.4000 0.2000 0.0000 Co
0.6001 0.1998 0.6001 Co
0.4001 0.2000 0.5999 Co
0.7998 0.9998 0.4007 Co
0.0000 0.2038 0.0000 Co
0.2004 0.2004 0.7996 Co
0.6001 0.3999 0.6001 Co
0.2002 0.0002 0.2002 Co
0.3999 0.6001 0.6001 Co
0.6001 0.6001 0.6001 Co
0.4007 0.7998 0.9998 Co
0.0000 0.6000 0.8000 Co
0.8002 0.3999 0.3999 Co
0.5999 0.8000 0.4001 Co
0.5999 0.4001 0.8000 Co
0.0000 0.6009 0.3991 Co
0.0000 0.8000 0.6000 Co
0.8000 0.6000 0.0000 Co
0.9998 0.4007 0.7998 Co
0.7998 0.4007 0.7998 Co
0.2000 0.0000 0.4000 Co
0.2002 0.2002 0.5993 Co
0.0000 0.3991 0.0000 Co
0.8000 0.5999 0.4001 Co
0.4001 0.8000 0.5999 Co
0.5993 0.0002 0.2002 Co
0.3991 0.6009 0.0000 Co
0.4001 0.8000 0.2000 Co
0.4001 0.5999 0.2000 Co
0.7996 0.2004 0.7996 Co
0.0000 0.7962 0.2038 Co
0.2002 0.5993 0.2002 Co
0.8000 0.2000 0.5999 Co
0.7996 0.2004 0.2004 Co
0.6009 0.0000 0.0000 Co
0.3999 0.3999 0.8002 Co
0.0000 0.3991 0.6009 Co
0.0000 0.0000 0.6009 Co
0.6000 0.0000 0.6000 Co
0.0000 0.6000 0.6000 Co
0.0002 0.5993 0.2002 Co
0.2000 0.4001 0.8000 Co
0.2002 0.2002 0.0002 Co
0.5993 0.2002 0.0002 Co
0.4007 0.7998 0.7998 Co
0.7999 0.7999 0.6002 Co
0.6002 0.7999 0.7999 Co
0.2038 0.7962 0.0000 Co
0.2000 0.5999 0.4001 Co
0.2000 0.4001 0.5999 Co
0.3998 0.2001 0.2001 Co
0.4000 0.0000 0.2000 Co
0.2000 0.8000 0.5999 Co
0.3999 0.3999 0.3999 Co
0.6001 0.3999 0.3999 Co
0.0000 0.6009 0.0000 Co
0.8000 0.5999 0.2000 Co
0.6009 0.0000 0.3991 Co
0.6001 0.6001 0.1998 Co
0.4000 0.0000 0.4000 Co
0.7999 0.7999 0.7999 Co
0.0000 0.4000 0.4000 Co
0.3999 0.8002 0.3999 Co
0.4000 0.4000 0.2000 Co
0.2002 0.5993 0.0002 Co
0.5999 0.8000 0.2000 Co
0.6001 0.6001 0.3999 Co
0.2000 0.4000 0.0000 Co
0.3991 0.0000 0.0000 Co
0.5999 0.2000 0.8000 Co
0.2001 0.3998 0.2001 Co
0.6000 0.6000 0.8000 Co
0.8000 0.2000 0.4001 Co
0.6009 0.3991 0.0000 Co
0.1998 0.6001 0.6001 Co
0.5999 0.2000 0.4001 Co
0.0000 0.0000 0.0000 As
```

Computed properties:
Space-group type: No. 225

***

no.,E_tot (eV per atom)
1,-4.9607
2,-4.1419
3,-4.8704
4,-5.6322
5,-1.3043
6,-7.0694